Below is Tb2Pr7Y after structural relaxation, with properties calculated at the PBE level.

Computed properties:
DOS(E_F): 1.557 states/eV per atom
total DFT energy (no corrections): -4.30 eV per atom
energy of formation from the pure elements: 59.86 kJ/mol of atoms
offset from the most stable computed form: 259 meV per atom
spin magnetization: 0.000 μB/f.u.
crystal system: orthorhombic
calculated density: 5.462 g cm⁻³

Lattice parameters (Å, degrees): 8.9163 16.6679 5.7001 90.00 90.00 90.00
Space group Cmmm (No. 65)
Unique sites:
Tb 0.0000 0.2052 0.0000 [4 per cell]
Pr 0.0000 0.0000 0.0000 [2 per cell]
Pr 0.0000 0.2786 0.5000 [4 per cell]
Pr 0.1798 0.3869 0.0000 [8 per cell]
Y 0.0000 0.5000 0.5000 [2 per cell]